(1)
First-principles (PBE) data for a relaxed structure of SrAcCdCu, as listed in Alexandria via LeMat-Bulk.

Calculated values
N(E_F), states/eV/atom: 0.97
SG: F-43m (216)
Energy of formation from the pure elements, meV per atom: -131

Lattice parameters (Å, degrees): 5.5778 5.5778 5.5778 60.00 60.00 60.00
Last column: nearest neighbours and their distance in Å.
Sites, in units of the cell vectors:
Sr1 0.0000 0.0000 0.0000  4 Cd 3.42, 4 Cu 3.42
Ac1 0.5000 0.5000 0.5000  4 Cd 3.42, 4 Cu 3.42
Cd1 0.7500 0.7500 0.7500  4 Ac 3.42, 4 Sr 3.42
Cu1 0.2500 0.2500 0.2500  4 Ac 3.42, 4 Sr 3.42



(2)
First-principles (PBE) data for a relaxed structure of TaTiMo2, as listed in Alexandria via LeMat-Bulk.

Calculated values
N(E_F), states/eV/atom: 1.26
SG: Fm-3m (225)
Energy of formation from the pure elements, meV per atom: -134

Lattice parameters (Å, degrees): 4.5251 4.5251 4.5251 60.00 60.00 60.00
Last column: nearest neighbours and their distance in Å.
Sites, in units of the cell vectors:
Ta1 0.0000 0.0000 0.0000  8 Mo 2.77
Ti1 0.5000 0.5000 0.5000  8 Mo 2.77
Mo1 0.2500 0.2500 0.2500  4 Ta 2.77, 4 Ti 2.77
Mo2 0.7500 0.7500 0.7500  4 Ta 2.77, 4 Ti 2.77



(3)
First-principles (PBE) data for a relaxed structure of Ti3ZnH3, as listed in Alexandria via LeMat-Bulk.

Calculated values
N(E_F), states/eV/atom: 0.63
SG: Pm-3n (223)

Lattice parameters (Å, degrees): 5.2763 5.2763 5.2763 90.00 90.00 90.00
Last column: nearest neighbours and their distance in Å.
Sites, in units of the cell vectors:
Ti1 0.0000 0.2500 0.5000  4 H 1.87
Ti2 0.0000 0.7500 0.5000  4 H 1.87
Ti3 0.2500 0.5000 0.0000  4 H 1.87
Ti4 0.5000 0.0000 0.2500  4 H 1.87
Ti5 0.5000 0.0000 0.7500  4 H 1.87
Ti6 0.7500 0.5000 0.0000  4 H 1.87
Zn1 0.0000 0.0000 0.0000  12 H 2.95, 12 Ti 2.95
Zn2 0.5000 0.5000 0.5000  12 H 2.95, 12 Ti 2.95
H1 0.0000 0.5000 0.2500  4 Ti 1.87
H2 0.0000 0.5000 0.7500  4 Ti 1.87
H3 0.2500 0.0000 0.5000  4 Ti 1.87
H4 0.5000 0.2500 0.0000  4 Ti 1.87
H5 0.5000 0.7500 0.0000  4 Ti 1.87
H6 0.7500 0.0000 0.5000  4 Ti 1.87



(4)
First-principles (PBE) data for a relaxed structure of MgRuN2F, as listed in Alexandria via LeMat-Bulk.

Calculated values
N(E_F), states/eV/atom: 0.83
SG: P4/mmm (123)
Formation energy from raw total energies, kJ per mole of atoms: 75.6

Lattice parameters (Å, degrees): 4.0227 4.0227 3.5884 90.00 90.00 90.00
Last column: nearest neighbours and their distance in Å.
Sites, in units of the cell vectors:
Mg1 0.0000 0.0000 0.0000  2 F 1.79
Ru1 0.5000 0.5000 0.5000  8 N 2.70, 4 F 2.84
N1 0.0000 0.5000 0.0000  2 Mg 2.01
N2 0.5000 0.0000 0.0000  2 Mg 2.01
F1 0.0000 0.0000 0.5000  2 Mg 1.79



(5)
First-principles (PBE) data for a relaxed structure of LiTiZnNi, as listed in Alexandria via LeMat-Bulk.

Calculated values
N(E_F), states/eV/atom: 1.17
SG: F-43m (216)
Energy of formation from the pure elements, meV per atom: -195

Lattice parameters (Å, degrees): 4.2033 4.2033 4.2033 60.00 60.00 60.00
Last column: nearest neighbours and their distance in Å.
Sites, in units of the cell vectors:
Li1 0.0000 0.0000 0.0000  4 Ti 2.57, 4 Zn 2.57
Ti1 0.7500 0.7500 0.7500  4 Li 2.57, 4 Ni 2.57
Zn1 0.2500 0.2500 0.2500  4 Li 2.57, 4 Ni 2.57
Ni1 0.5000 0.5000 0.5000  4 Ti 2.57, 4 Zn 2.57



(6)
First-principles (PBE) data for a relaxed structure of ZrZn2Cd, as listed in Alexandria via LeMat-Bulk.

Calculated values
N(E_F), states/eV/atom: 0.56
SG: C2/m (12)
Energy of formation from the pure elements, meV per atom: -33

Lattice parameters (Å, degrees): 4.7186 4.7186 5.6913 98.34 98.34 37.45
Last column: nearest neighbours and their distance in Å.
Sites, in units of the cell vectors:
Zr1 0.0000 0.0000 0.0000  6 Zn 2.85-2.91, 2 Zr 3.03
Zn1 0.2490 0.2490 0.7424  3 Cd 2.81-2.86, 3 Zr 2.85-2.91, 2 Zn 3.03
Zn2 0.7510 0.7510 0.2576  3 Cd 2.81-2.86, 3 Zr 2.85-2.91, 2 Zn 3.03
Cd1 0.5000 0.5000 0.5000  6 Zn 2.81-2.86, 2 Cd 3.03



no.,VASP energy (eV per formula unit)
1,-11.32
2,-41.94
3,-37.42
4,-25.47
5,-17.64
6,-12.14